Pr2PuGe4Pd3 | GGA-PBE | optimized geometry

a = 4.3347 Å, b = 4.3347 Å, c = 11.4491 Å
α = 90.00°, β = 90.00°, γ = 90.00°
Element x y z (fractional)
Pr (0.0000, 0.5000, 0.2282)
Pr (0.5000, 0.0000, 0.7718)
Pu (0.0000, 0.0000, 0.5000)
Ge (0.0000, 0.0000, 0.0000)
Ge (0.0000, 0.5000, 0.6678)
Ge (0.5000, 0.0000, 0.3322)
Ge (0.5000, 0.5000, 0.0000)
Pd (0.0000, 0.5000, 0.8841)
Pd (0.5000, 0.0000, 0.1159)
Pd (0.5000, 0.5000, 0.5000)

- Formation energy from the elements: -0.66 eV per atom
- Uncorrected energy: -6.453 eV per atom

Tc2PAu | GGA-PBE | optimized geometry

a = 2.9157 Å, b = 4.2573 Å, c = 5.2254 Å
α = 90.00°, β = 106.13°, γ = 90.00°
Element x y z (fractional)
Tc (0.0000, 0.0000, 0.0000)
Tc (0.3930, 0.5000, 0.7851)
P (0.3074, 0.0000, 0.6103)
Au (0.6531, 0.5000, 0.3075)

- Formation energy from the elements: 0.10 eV per atom
- Uncorrected energy: -7.254 eV per atom

PmEr3Tl2 | GGA-PBE | optimized geometry

a = 5.1002 Å, b = 9.9690 Å, c = 6.8129 Å
α = 90.00°, β = 90.00°, γ = 90.00°
Element x y z (fractional)
Pm (0.0000, 0.0425, 0.0000)
Pm (0.0000, 0.9575, 0.5000)
Er (0.0000, 0.3171, 0.6214)
Er (0.0000, 0.6829, 0.1214)
Er (0.5000, 0.1928, 0.2801)
Er (0.5000, 0.4559, 0.9074)
Er (0.5000, 0.5441, 0.4074)
Er (0.5000, 0.8072, 0.7801)
Tl (0.0000, 0.3678, 0.1615)
Tl (0.0000, 0.6322, 0.6615)
Tl (0.5000, 0.1370, 0.7387)
Tl (0.5000, 0.8630, 0.2387)

- Formation energy from the elements: -0.26 eV per atom
- Uncorrected energy: -4.126 eV per atom
- Distance to the lowest polymorph of the same formula: 0 meV per atom

Mg2TlCu | GGA-PBE | optimized geometry

a = 10.2795 Å, b = 10.2795 Å, c = 10.2795 Å
α = 156.05°, β = 156.05°, γ = 34.13°
Element x y z (fractional)
Mg (0.1084, 0.6250, 0.9834)
Mg (0.3750, 0.3584, 0.4834)
Mg (0.6416, 0.1250, 0.0166)
Mg (0.8750, 0.8916, 0.5166)
Tl (0.2500, 0.7500, 0.5000)
Tl (0.5000, 0.5000, 0.0000)
Cu (0.0000, 0.0000, 0.0000)
Cu (0.7500, 0.2500, 0.5000)

- Formation energy from the elements: 0.23 eV per atom
- Uncorrected energy: -2.179 eV per atom

Pu5Ta | GGA-PBE | optimized geometry

a = 7.2490 Å, b = 7.2490 Å, c = 4.2243 Å
α = 90.00°, β = 90.00°, γ = 143.49°
Element x y z (fractional)
Pu (0.0000, 0.0000, 0.0000)
Pu (0.1666, 0.8334, 0.5000)
Pu (0.3377, 0.6623, 0.0000)
Pu (0.6623, 0.3377, 0.0000)
Pu (0.8334, 0.1666, 0.5000)
Ta (0.5000, 0.5000, 0.5000)

- Formation energy from the elements: 0.23 eV per atom
- Uncorrected energy: -13.691 eV per atom

BaNp4Cr3S12 | GGA-PBE | optimized geometry

a = 8.4998 Å, b = 8.4998 Å, c = 8.4998 Å
α = 109.47°, β = 109.47°, γ = 109.47°
Element x y z (fractional)
Ba (0.0000, 0.0000, 0.0000)
Np (0.0000, 0.0000, 0.5000)
Np (0.0000, 0.5000, 0.0000)
Np (0.5000, 0.0000, 0.0000)
Np (0.5000, 0.5000, 0.5000)
Cr (0.0000, 0.5000, 0.5000)
Cr (0.5000, 0.0000, 0.5000)
Cr (0.5000, 0.5000, 0.0000)
S (0.1527, 0.3166, 0.8360)
S (0.1640, 0.4806, 0.3166)
S (0.1640, 0.8473, 0.6834)
S (0.3166, 0.1640, 0.4806)
S (0.3166, 0.8360, 0.1527)
S (0.4806, 0.3166, 0.1640)
S (0.5194, 0.6834, 0.8360)
S (0.6834, 0.1640, 0.8473)
S (0.6834, 0.8360, 0.5194)
S (0.8360, 0.1527, 0.3166)
S (0.8360, 0.5194, 0.6834)
S (0.8473, 0.6834, 0.1640)

- Energy relative to the elements, uncorrected: -1056 meV per atom
- Uncorrected energy: -7.660 eV per atom

Values for spin magnetization, μB per formula unit, ordered as above
5.38, 0.00, 0.00, 0.00, 4.94, 24.00